(1)
# SiMoPt | Alexandria via LeMat-Bulk | PBE-GGA | relaxed
data_SiMoPt
_space_group_name_H-M_alt 'F -4 3 m'
_space_group_IT_number 216
_space_group_name_Hall 'F -4 2 3'
_cell_length_a 5.805
_cell_length_b 5.805
_cell_length_c 5.805
_cell_angle_alpha 90.00
_cell_angle_beta 90.00
_cell_angle_gamma 90.00
loop_
_atom_site_label
_atom_site_type_symbol
_atom_site_fract_x
_atom_site_fract_y
_atom_site_fract_z
Si1 Si 0.000 0.000 0.000
Mo1 Mo 0.250 0.250 0.250
Pt1 Pt 0.250 0.250 0.750
# Magnetic moment = 3.64 μB per cell
# Calculated volume = 49 Å³/f.u.
# Calculated density = 10.84 g/cm³
# ΔE_f (raw) = -0.167 eV per atom

=====

(2)
# Cr2AsHI | Alexandria via LeMat-Bulk | PBE-GGA | relaxed
data_Cr2AsHI
_space_group_name_H-M_alt 'P 4/m m m'
_space_group_IT_number 123
_space_group_name_Hall '-P 4 2'
_cell_length_a 4.519
_cell_length_b 4.519
_cell_length_c 4.308
_cell_angle_alpha 90.00
_cell_angle_beta 90.00
_cell_angle_gamma 90.00
loop_
_atom_site_label
_atom_site_type_symbol
_atom_site_fract_x
_atom_site_fract_y
_atom_site_fract_z
Cr1 Cr 0.000 0.500 0.000
As1 As 0.000 0.000 0.500
H1 H 0.500 0.500 0.000
I1 I 0.500 0.500 0.500
# Energy above the most stable polymorph in this dataset = 0 meV/atom
# Magnetic moment = 7.83 μB per cell
# Calculated volume = 88 Å³/f.u.
# Calculated density = 5.79 g/cm³

=====

(3)
# GaSeS | Alexandria via LeMat-Bulk | PBE-GGA | relaxed
data_GaSeS
_space_group_name_H-M_alt 'P 1'
_space_group_IT_number 1
_space_group_name_Hall 'P 1'
_cell_length_a 3.515
_cell_length_b 3.519
_cell_length_c 7.421
_cell_angle_alpha 88.06
_cell_angle_beta 89.65
_cell_angle_gamma 60.10
loop_
_atom_site_label
_atom_site_type_symbol
_atom_site_fract_x
_atom_site_fract_y
_atom_site_fract_z
Ga1 Ga 0.000 0.000 0.000
Se1 Se 0.990 0.028 0.683
S1 S 0.338 0.321 0.151
# Energy above the most stable polymorph in this dataset = 94 meV/atom
# Magnetic moment = 0.00 μB per cell
# Calculated volume = 80 Å³/f.u.
# Calculated density = 3.77 g/cm³
# ΔE_f (raw) = -0.355 eV per atom

=====

(4)
# Pm5Ga2C | Alexandria via LeMat-Bulk | PBE-GGA | relaxed
data_Pm5Ga2C
_space_group_name_H-M_alt 'C m c m'
_space_group_IT_number 63
_space_group_name_Hall '-C 2c 2'
_cell_length_a 5.514
_cell_length_b 14.913
_cell_length_c 11.641
_cell_angle_alpha 90.00
_cell_angle_beta 90.00
_cell_angle_gamma 90.00
loop_
_atom_site_label
_atom_site_type_symbol
_atom_site_fract_x
_atom_site_fract_y
_atom_site_fract_z
Pm1 Pm 0.000 0.070 0.101
Pm2 Pm 0.000 0.302 0.092
Pm3 Pm 0.000 0.323 0.750
Ga1 Ga 0.000 0.133 0.641
C1 C 0.000 0.181 0.250
# Magnetic moment = 0.00 μB per cell
# Formation enthalpy at 0 K = -0.4 eV per formula unit
# Calculated volume = 239 Å³/f.u.
# Calculated density = 6.08 g/cm³

=====

The calculation returns the following electronic total energy values, one per record and in order: -7.60; -4.84; -3.90; -4.93 eV per atom.